[1]
## La2ErHg3 (PBE)

Data for a geometry-optimized La2ErHg3 structure.

Properties
For the density of states at the Fermi level, the calculation gives 6.20 states/eV/cell. The value obtained for the formation energy is -0.49 eV per atom.

abc: 3.7467 3.7467 12.0355
angles: 90.00 90.00 90.00
With the nearest neighbours (Å) after each atom.
Positions (direct):
Hg1 0.0000 0.0000 0.0000  8 La 3.39, 4 Hg 3.75
Hg2 0.0000 0.0000 0.3563  4 Er 3.16, 4 La 3.43, 1 Hg 3.46
Hg3 0.0000 0.0000 0.6437  4 Er 3.16, 4 La 3.43, 1 Hg 3.46
Er1 0.5000 0.5000 0.5000  8 Hg 3.16
La1 0.5000 0.5000 0.8244  8 Hg 3.39-3.43, 4 La 3.75
La2 0.5000 0.5000 0.1756  8 Hg 3.39-3.43, 4 La 3.75

[2]
## PuZnAgO6 (PBE)

Data for a geometry-optimized PuZnAgO6 structure.

Properties
For the density of states at the Fermi level, the calculation gives 4.44 states/eV/cell. Its uncorrected formation energy is -1.334 eV/atom.

abc: 5.0706 5.0706 9.2866
angles: 90.00 90.00 90.00
With the nearest neighbours (Å) after each atom.
Positions (direct):
O1 0.6862 0.6862 0.3407  1 Pu 2.00, 1 Ag 2.11
O2 0.6763 0.6763 0.6583  1 Pu 1.93, 1 Zn 2.10
O3 0.3237 0.3237 0.6583  1 Pu 1.93, 1 Zn 2.10
O4 0.8237 0.1763 0.1583  1 Pu 1.93, 1 Zn 2.10
O5 0.1957 0.8043 0.4983  1 Zn 2.04, 1 Ag 2.09, 1 Pu 2.18
O6 0.8043 0.1957 0.4983  1 Zn 2.04, 1 Ag 2.09, 1 Pu 2.18
O7 0.6957 0.6957 0.9983  1 Zn 2.04, 1 Ag 2.09, 1 Pu 2.18
O8 0.1862 0.8138 0.8407  1 Pu 2.00, 1 Ag 2.11
O9 0.3043 0.3043 0.9983  1 Zn 2.04, 1 Ag 2.09, 1 Pu 2.18
O10 0.1763 0.8237 0.1583  1 Pu 1.93, 1 Zn 2.10
O11 0.8138 0.1862 0.8407  1 Pu 2.00, 1 Ag 2.11
O12 0.3138 0.3138 0.3407  1 Pu 2.00, 1 Ag 2.11
Zn1 0.0000 0.0000 0.3390  6 O 2.04-2.25
Zn2 0.5000 0.5000 0.8390  6 O 2.04-2.25
Ag1 0.0000 0.0000 0.6645  6 O 2.09-2.32
Ag2 0.5000 0.5000 0.1645  6 O 2.09-2.32
Pu1 0.0000 0.0000 0.0017  4 O 1.93-2.00
Pu2 0.5000 0.5000 0.5017  4 O 1.93-2.00